(1)
Computed, not measured: crystalline KAgRh2 at its relaxed geometry at the PBE-GGA level of DFT.

## Properties
**Distance to the lowest polymorph of the same formula**: 251.9 meV per atom
**D(E_F)**: 1.9682 states/eV/atom

Unit cell a=4.863 b=2.785 c=6.025 alpha=80.25 beta=90.00 gamma=90.00
Last column: magnetic moment on the atom in μB.
Positions (direct):
Rh1 0.000 0.058 0.065  0.13
Rh2 0.000 0.442 0.435  0.13
K1 0.500 0.750 0.750  0.00
Ag1 0.500 0.250 0.250  0.00

---

(2)
Computed, not measured: crystalline KAgRh2 at its relaxed geometry at the PBE-GGA level of DFT.

## Properties
**Distance to the lowest polymorph of the same formula**: 263.0 meV per atom
**D(E_F)**: 1.1522 states/eV/atom

Unit cell a=2.795 b=2.795 c=10.349 alpha=90.00 beta=90.00 gamma=117.23
Last column: magnetic moment on the atom in μB.
Positions (direct):
Rh1 0.000 0.000 0.482  0.58
K1 0.500 0.500 0.750  -0.01
Rh2 0.000 0.000 0.018  0.58
Ag1 0.500 0.500 0.250  0.01

---

(3)
Computed, not measured: crystalline KAgRh2 at its relaxed geometry at the PBE-GGA level of DFT.

## Properties
**Distance to the lowest polymorph of the same formula**: 389.3 meV per atom
**D(E_F)**: 1.1366 states/eV/atom

Unit cell a=3.400 b=3.400 c=7.434 alpha=90.00 beta=90.00 gamma=90.00
Last column: magnetic moment on the atom in μB.
Positions (direct):
Rh1 0.000 0.000 0.075  0.96
Rh2 0.000 0.000 0.425  0.96
Ag1 0.500 0.500 0.250  0.08
K1 0.500 0.500 0.750  0.01

---

(4)
Computed, not measured: crystalline K2Ag2Rh at its relaxed geometry at the PBE-GGA level of DFT.

## Properties
**D(E_F)**: 0.5835 states/eV/atom

Unit cell a=6.985 b=6.985 c=5.428 alpha=90.00 beta=90.00 gamma=90.00
Positions (direct):
K1 0.319 0.181 0.500
Rh1 0.500 0.500 0.000
K2 0.819 0.319 0.500
Ag1 0.860 0.640 0.000
Ag2 0.140 0.360 0.000
Ag3 0.640 0.140 0.000
Ag4 0.360 0.860 0.000
K3 0.181 0.681 0.500
K4 0.681 0.819 0.500
Rh2 0.000 0.000 0.000

---

(5)
Computed, not measured: crystalline K4AgRh at its relaxed geometry at the PBE-GGA level of DFT.

## Properties
**D(E_F)**: 0.4558 states/eV/atom

Unit cell a=6.611 b=6.611 c=6.611 alpha=60.00 beta=60.00 gamma=60.00
Positions (direct):
K1 0.375 0.375 0.874
Ag1 0.000 0.000 0.000
Rh1 0.750 0.750 0.750
K2 0.375 0.375 0.375
K3 0.874 0.375 0.375
K4 0.375 0.874 0.375

---

(6)
Computed, not measured: crystalline KAg3Rh at its relaxed geometry at the PBE-GGA level of DFT.

## Properties
**Distance to the lowest polymorph of the same formula**: 1117.3 meV per atom
**D(E_F)**: 0.7745 states/eV/atom

Unit cell a=5.165 b=5.165 c=5.165 alpha=90.00 beta=90.00 gamma=90.00
Last column: magnetic moment on the atom in μB.
Positions (direct):
Ag1 0.000 0.000 0.500  -0.01
Ag2 0.000 0.500 0.000  -0.01
Ag3 0.500 0.000 0.000  -0.01
Rh1 0.500 0.500 0.500  0.68
K1 0.000 0.000 0.000  0.00

---

(7)
Computed, not measured: crystalline KAgRh2 at its relaxed geometry at the PBE-GGA level of DFT.

## Properties
**Distance to the lowest polymorph of the same formula**: 69.0 meV per atom
**D(E_F)**: 1.0994 states/eV/atom

Unit cell a=4.541 b=4.541 c=7.219 alpha=85.19 beta=85.19 gamma=36.10
Positions (direct):
K1 0.252 0.252 0.236
Ag1 0.486 0.486 0.568
Rh1 0.012 0.012 0.903
Rh2 0.750 0.750 0.794

---

(8)
Computed, not measured: crystalline KAgRh2 at its relaxed geometry at the PBE-GGA level of DFT.

## Properties
**Distance to the lowest polymorph of the same formula**: 225.4 meV per atom
**D(E_F)**: 1.6657 states/eV/atom

Unit cell a=5.585 b=5.585 c=5.272 alpha=75.55 beta=75.55 gamma=28.89
Last column: magnetic moment on the atom in μB.
Positions (direct):
Rh1 0.019 0.019 0.948  0.10
K1 0.250 0.250 0.250  0.00
Rh2 0.481 0.481 0.552  0.10
Ag1 0.750 0.750 0.750  0.00

---

(9)
Computed, not measured: crystalline KAgRh2 at its relaxed geometry at the PBE-GGA level of DFT.

## Properties
**Distance to the lowest polymorph of the same formula**: 232.7 meV per atom
**D(E_F)**: 1.3163 states/eV/atom

Unit cell a=6.072 b=6.072 c=6.072 alpha=153.45 beta=131.65 gamma=56.01
Positions (direct):
K1 0.750 0.250 0.500
Rh1 0.022 0.022 0.000
Ag1 0.250 0.750 0.500
Rh2 0.478 0.478 0.000

---

(10)
Computed, not measured: crystalline KTaAgRh2 at its relaxed geometry at the PBE-GGA level of DFT.

## Properties
**D(E_F)**: 1.4275 states/eV/atom

Unit cell a=4.661 b=4.637 c=4.661 alpha=90.00 beta=90.00 gamma=90.00
Positions (direct):
Ag1 0.500 0.500 0.500
K1 0.000 0.000 0.000
Rh1 0.000 0.000 0.500
Rh2 0.500 0.000 0.000
Ta1 0.000 0.500 0.000

---

(11)
Computed, not measured: crystalline K2TiAgRh at its relaxed geometry at the PBE-GGA level of DFT.

## Properties
**D(E_F)**: 1.1011 states/eV/atom

Unit cell a=6.338 b=4.500 c=6.338 alpha=90.00 beta=90.00 gamma=90.00
Positions (direct):
K1 0.500 0.000 0.000
Rh1 0.000 0.000 0.000
Ag1 0.500 0.500 0.500
Ti1 0.000 0.500 0.000
K2 0.000 0.000 0.500

---

(12)
Computed, not measured: crystalline KTl2AgRh at its relaxed geometry at the PBE-GGA level of DFT.

## Properties
**D(E_F)**: 0.3983 states/eV/atom

Unit cell a=5.247 b=5.247 c=5.450 alpha=90.00 beta=90.00 gamma=90.00
Positions (direct):
Tl1 0.500 0.000 0.000
Ag1 0.000 0.000 0.500
Tl2 0.000 0.500 0.000
Rh1 0.000 0.000 0.000
K1 0.500 0.500 0.500

---

In order of appearance, raw total energy = -16.31 -16.26 -15.76 -27.12 -9.83 -8.75 -17.04 -16.41 -16.39 -18.18 -17.07 -15.98 eV for the cell shown.
In order of appearance, calculated density = 7284 8148 6817 4976 2984 5611 6706 7631 7878 8800 3094 7288 kg/m³.
In order of appearance, volume = 80.4 71.9 85.9 132.4 204.3 137.8 87.4 76.8 74.4 100.7 180.8 150.1 Å³/f.u..